TiTcNi2: optimized geometry, PBE-GGA.

Values from the calculation:
offset from the most stable computed form	508	meV/atom
energy of formation	231	meV/atom

```
TiTcNi2
1.0
3.570 0.000 0.000
0.000 3.570 0.000
1.785 1.785 8.778
Ni Ti Tc
4 2 2
direct
0.626 0.125 0.250
0.875 0.876 0.750
0.124 0.625 0.250
0.375 0.374 0.750
0.500 0.500 0.000
0.250 0.750 0.500
0.750 0.250 0.500
0.000 0.000 0.000
```